No. 1
Density functional theory data (PBE) for an optimized crystal structure of Al2PSe.

Its total DFT energy (no corrections) is -3.986 eV per atom. The uncorrected formation energy comes out at 10.5 kJ/mol of atoms. The magnetization is 0.00 μB per cell.

The space group is Cmm2 (No. 35) and the conventional cell measures 3.5958, 4.7851 and 9.2767 Å, with angles of 90.00, 90.00 and 90.00 degrees. Symmetry generates all atoms from Al at (0.0000, 0.0000, 0.0000), Al at (0.0000, 0.5000, 0.2281), P at (0.0000, 0.0000, 0.4070) and Se at (0.0000, 0.5000, 0.8029).


No. 2
Density functional theory data (PBE) for an optimized crystal structure of CuRu2Rh.

Its total DFT energy (no corrections) is -7.309 eV per atom. Its energy relative to the elements is 0.1903 eV/atom. The magnetization is 0.00 μB per cell.

The space group is I-4m2 (No. 119) and the conventional cell measures 3.7553, 3.7553 and 7.7230 Å, with angles of 90.00, 90.00 and 90.00 degrees. Symmetry generates all atoms from Cu at (0.0000, 0.0000, 0.0000), Ru at (0.0000, 0.0000, 0.5000), Ru at (0.0000, 0.5000, 0.2500) and Rh at (0.0000, 0.5000, 0.7500).


No. 3
Density functional theory data (PBE) for an optimized crystal structure of PrSm4Er8.

Its total DFT energy (no corrections) is -4.104 eV per atom. Its energy relative to the elements is 0.5236 eV/atom. The magnetization is 4.86 μB per cell.

The space group is R-3m (No. 166, hexagonal axes) and the conventional cell measures 10.9910, 10.9910 and 13.4859 Å, with angles of 90.00, 90.00 and 120.00 degrees. Symmetry generates all atoms from Pr at (0.0000, 0.0000, 0.0000), Sm at (0.0000, 0.0000, 0.5000), Sm at (0.0000, 0.5000, 0.5000), Er at (0.0000, 0.0000, 0.2611) and Er at (0.0150, 0.5075, 0.2468).


No. 4
Density functional theory data (PBE) for an optimized crystal structure of SrBP2Cl.

Its total DFT energy (no corrections) is -2.804 eV per atom. The uncorrected formation energy comes out at 135.2 kJ/mol of atoms. The magnetization is 3.99 μB per cell.

The space group is P4/mmm (No. 123) and the conventional cell measures 6.0362, 6.0362 and 5.4975 Å, with angles of 90.00, 90.00 and 90.00 degrees. Symmetry generates all atoms from Sr at (0.0000, 0.0000, 0.0000), B at (0.5000, 0.5000, 0.5000), P at (0.0000, 0.5000, 0.0000) and Cl at (0.0000, 0.0000, 0.5000).


No. 5
Density functional theory data (PBE) for an optimized crystal structure of MnP2C.

Its total DFT energy (no corrections) is -7.034 eV per atom. Its energy relative to the elements is 0.2693 eV/atom. The magnetization is 4.00 μB per cell.

The space group is I-42d (No. 122) and the conventional cell measures 5.0130, 5.0130 and 7.9129 Å, with angles of 90.00, 90.00 and 90.00 degrees. Symmetry generates all atoms from Mn at (0.0000, 0.0000, 0.0000), P at (0.1935, 0.2500, 0.6250) and C at (0.0000, 0.0000, 0.5000).


No. 6
Density functional theory data (PBE) for an optimized crystal structure of BeOsRu.

Its total DFT energy (no corrections) is -8.245 eV per atom. Its energy relative to the elements is -0.1678 eV/atom. The magnetization is 0.00 μB per cell.

The space group is C2/c (No. 15) and the conventional cell measures 3.9702, 9.1461 and 3.9696 Å, with angles of 90.00, 90.09 and 90.00 degrees. Symmetry generates all atoms from Be at (0.0000, 0.2477, 0.2500), Os at (0.0000, 0.4072, 0.7500) and Ru at (0.0000, 0.0971, 0.7500).


No. 7
Density functional theory data (PBE) for an optimized crystal structure of CaY3.

Its total DFT energy (no corrections) is -5.223 eV per atom. Its energy relative to the elements is 0.1252 eV/atom. The magnetization is 0.00 μB per cell.

The space group is I4/mmm (No. 139) and the conventional cell measures 5.1376, 5.1376 and 10.2675 Å, with angles of 90.00, 90.00 and 90.00 degrees. Symmetry generates all atoms from Ca at (0.0000, 0.0000, 0.0000), Y at (0.0000, 0.0000, 0.5000) and Y at (0.0000, 0.5000, 0.2500).


No. 8
Density functional theory data (PBE) for an optimized crystal structure of AlRu.

Its total DFT energy (no corrections) is -6.442 eV per atom. Its energy relative to the elements is 0.0668 eV/atom. The magnetization is 0.00 μB per cell.

The space group is P4/m (No. 83) and the conventional cell measures 8.6135, 8.6135 and 4.1030 Å, with angles of 90.00, 90.00 and 90.00 degrees. Symmetry generates all atoms from Al at (0.1335, 0.7779, 0.0000), Al at (0.2839, 0.3667, 0.5000), Ru at (0.0981, 0.3877, 0.0000) and Ru at (0.1147, 0.5923, 0.5000).


> Which of these has the highest total DFT energy (no corrections)?

SrBP2Cl


> The highest total DFT energy (no corrections) belongs to which entry?

SrBP2Cl


> total DFT energy (no corrections) of number 7 (CaY3)?

-5.223 eV per atom